--- P ---
! TbPrTl4 (PBE, relaxed); values from VASP
&SYSTEM
  ibrav = 0, nat = 6, ntyp = 3
/
ATOMIC_SPECIES
Tb 158.93 Tb.upf
Pr 140.91 Pr.upf
Tl 204.38 Tl.upf
ATOMIC_POSITIONS crystal
Tb 0.000 0.000 0.000
Pr 0.005 0.500 0.496
Tl 0.361 0.500 0.159
Tl 0.374 0.000 0.671
Tl 0.623 0.000 0.328
Tl 0.653 0.500 0.834
CELL_PARAMETERS angstrom
3.842 0.000 0.000
0.000 5.098 0.000
-0.030 0.000 8.828
! Symmetry: Pm, No. 6

=====

--- Q ---
! TbPrTl4 (PBE, relaxed); values from VASP
&SYSTEM
  ibrav = 0, nat = 6, ntyp = 3
/
ATOMIC_SPECIES
Tb 158.93 Tb.upf
Pr 140.91 Pr.upf
Tl 204.38 Tl.upf
ATOMIC_POSITIONS crystal
Tb 0.000 0.000 0.000
Pr 0.750 0.750 0.750
Tl 0.375 0.375 0.375
Tl 0.375 0.375 0.875
Tl 0.375 0.875 0.375
Tl 0.875 0.375 0.375
CELL_PARAMETERS angstrom
0.000 4.419 4.419
4.419 0.000 4.419
4.419 4.419 0.000
! Symmetry: F-43m, No. 216

=====

Each structure's energy above the most stable one, in eV/atom: P 0.000; Q 0.151.